[1]
{
  "formula": "Fe2PRh",
  "functional": "PBE",
  "state": "relaxed",
  "lattice": [[2.777, 0.000, 0.000], [0.000, 4.176, 0.000], [0.000, 0.000, 8.278]],
  "species": ["Fe", "Fe", "Fe", "Fe", "P", "P", "Rh", "Rh"],
  "frac_coords": [[0.000, 0.000, 0.221], [0.000, 0.000, 0.779], [0.500, 0.500, 0.279], [0.500, 0.500, 0.721], [0.000, 0.500, 0.500], [0.500, 0.000, 0.000], [0.000, 0.500, 0.000], [0.500, 0.000, 0.500]]
}



[2]
{
  "formula": "SrCa3Ir",
  "functional": "PBE",
  "state": "relaxed",
  "lattice": [[7.284, 0.000, 0.000], [-2.037, 7.154, 0.000], [-0.832, -4.069, 6.717]],
  "species": ["Sr", "Sr", "Ca", "Ca", "Ca", "Ca", "Ca", "Ca", "Ir", "Ir"],
  "frac_coords": [[0.192, 0.276, 0.060], [0.808, 0.724, 0.940], [0.232, 0.684, 0.605], [0.233, 0.145, 0.524], [0.305, 0.756, 0.081], [0.695, 0.244, 0.919], [0.767, 0.855, 0.476], [0.768, 0.316, 0.395], [0.000, 0.369, 0.739], [0.000, 0.631, 0.261]],
  "de_polymorph_mev_per_atom": 48.5
}



[3]
{
  "formula": "SmMgScZn",
  "functional": "PBE",
  "state": "relaxed",
  "lattice": [[3.502, 0.000, 0.000], [0.000, 3.502, 0.000], [0.000, 0.000, 7.719]],
  "species": ["Sm", "Mg", "Sc", "Zn"],
  "frac_coords": [[0.000, 0.000, 0.000], [0.500, 0.500, 0.301], [0.000, 0.000, 0.557], [0.500, 0.500, 0.745]],
  "de_polymorph_mev_per_atom": 0.0
}



[4]
{
  "formula": "Mg3Ag5",
  "functional": "PBE",
  "state": "relaxed",
  "lattice": [[2.732, -7.407, 0.000], [2.732, 7.407, 0.000], [-1.605, 0.000, 7.478]],
  "species": ["Mg", "Mg", "Mg", "Mg", "Mg", "Mg", "Ag", "Ag", "Ag", "Ag", "Ag", "Ag", "Ag", "Ag", "Ag", "Ag"],
  "frac_coords": [[0.000, 0.000, 0.000], [0.092, 0.658, 0.915], [0.579, 0.579, 0.621], [0.636, 0.966, 0.322], [0.658, 0.092, 0.915], [0.966, 0.636, 0.322], [0.099, 0.419, 0.204], [0.103, 0.103, 0.375], [0.144, 0.937, 0.673], [0.288, 0.682, 0.588], [0.401, 0.594, 0.927], [0.419, 0.099, 0.204], [0.566, 0.566, 0.255], [0.594, 0.401, 0.927], [0.682, 0.288, 0.588], [0.937, 0.144, 0.673]],
  "de_polymorph_mev_per_atom": 71.9
}



[5]
{
  "formula": "NiSeI",
  "functional": "PBE",
  "state": "relaxed",
  "lattice": [[13.013, 0.000, 0.000], [0.000, 3.762, 0.000], [-2.457, 0.000, 5.986]],
  "species": ["Ni", "Ni", "Ni", "Ni", "Se", "Se", "Se", "Se", "I", "I", "I", "I"],
  "frac_coords": [[0.246, 0.000, 0.266], [0.254, 0.500, 0.734], [0.746, 0.500, 0.266], [0.754, 0.000, 0.734], [0.155, 0.500, 0.351], [0.345, 0.000, 0.649], [0.655, 0.000, 0.351], [0.845, 0.500, 0.649], [0.119, 0.000, 0.838], [0.381, 0.500, 0.162], [0.619, 0.500, 0.838], [0.881, 0.000, 0.162]],
  "raw_formation_energy_ev_per_atom": -0.120
}



[6]
{
  "formula": "GePI2",
  "functional": "PBE",
  "state": "relaxed",
  "lattice": [[8.035, 0.000, 0.000], [0.000, 8.035, 0.000], [0.000, 0.000, 7.288]],
  "species": ["Ge", "Ge", "Ge", "Ge", "P", "P", "P", "P", "I", "I", "I", "I", "I", "I", "I", "I"],
  "frac_coords": [[0.000, 0.000, 0.000], [0.000, 0.500, 0.250], [0.500, 0.000, 0.750], [0.500, 0.500, 0.500], [0.000, 0.000, 0.500], [0.000, 0.500, 0.750], [0.500, 0.000, 0.250], [0.500, 0.500, 0.000], [0.245, 0.250, 0.625], [0.250, 0.745, 0.875], [0.250, 0.755, 0.375], [0.255, 0.250, 0.125], [0.745, 0.750, 0.125], [0.750, 0.245, 0.375], [0.750, 0.255, 0.875], [0.755, 0.750, 0.625]],
  "de_polymorph_mev_per_atom": 0.0,
  "raw_formation_energy_ev_per_atom": 0.659
}



[7]
{
  "formula": "FeSb2PdI",
  "functional": "PBE",
  "state": "relaxed",
  "lattice": [[4.772, 0.000, 0.000], [0.000, 4.772, 0.000], [0.000, 0.000, 5.561]],
  "species": ["Fe", "Sb", "Sb", "Pd", "I"],
  "frac_coords": [[0.000, 0.000, 0.000], [0.000, 0.500, 0.000], [0.500, 0.000, 0.000], [0.500, 0.500, 0.500], [0.000, 0.000, 0.500]],
  "de_polymorph_mev_per_atom": 0.0,
  "raw_formation_energy_ev_per_atom": 0.578
}



[8]
{
  "formula": "MnCd",
  "functional": "PBE",
  "state": "relaxed",
  "lattice": [[2.934, 0.000, 0.000], [-1.467, 2.541, 0.000], [0.000, 0.000, 10.407]],
  "species": ["Mn", "Mn", "Cd", "Cd"],
  "frac_coords": [[0.333, 0.667, 0.000], [0.667, 0.333, 0.500], [0.333, 0.667, 0.731], [0.667, 0.333, 0.231]]
}



[9]
{
  "formula": "CuBIr3",
  "functional": "PBE",
  "state": "relaxed",
  "lattice": [[4.439, 0.000, 0.000], [0.000, 4.439, 0.000], [0.000, 0.000, 4.439]],
  "species": ["Cu", "B", "Ir", "Ir", "Ir"],
  "frac_coords": [[0.000, 0.000, 0.000], [0.500, 0.500, 0.500], [0.000, 0.000, 0.500], [0.000, 0.500, 0.000], [0.500, 0.000, 0.000]],
  "de_polymorph_mev_per_atom": 2213.9
}



[10]
{
  "formula": "ErZrBeZn",
  "functional": "PBE",
  "state": "relaxed",
  "lattice": [[6.712, 0.000, 0.000], [0.000, 6.712, 0.000], [0.000, 0.000, 6.712]],
  "species": ["Er", "Er", "Er", "Er", "Zr", "Zr", "Zr", "Zr", "Be", "Be", "Be", "Be", "Zn", "Zn", "Zn", "Zn"],
  "frac_coords": [[0.000, 0.000, 0.000], [0.000, 0.500, 0.500], [0.500, 0.000, 0.500], [0.500, 0.500, 0.000], [0.000, 0.000, 0.500], [0.000, 0.500, 0.000], [0.500, 0.000, 0.000], [0.500, 0.500, 0.500], [0.250, 0.250, 0.750], [0.250, 0.750, 0.250], [0.750, 0.250, 0.250], [0.750, 0.750, 0.750], [0.250, 0.250, 0.250], [0.250, 0.750, 0.750], [0.750, 0.250, 0.750], [0.750, 0.750, 0.250]]
}



[11]
{
  "formula": "Rb2Zn2CdSe4",
  "functional": "PBE",
  "state": "relaxed",
  "lattice": [[8.310, -2.048, 0.000], [8.310, 2.048, 0.000], [-2.541, 0.000, 7.530]],
  "species": ["Rb", "Rb", "Zn", "Zn", "Cd", "Se", "Se", "Se", "Se"],
  "frac_coords": [[0.125, 0.125, 0.035], [0.875, 0.875, 0.965], [0.326, 0.326, 0.516], [0.674, 0.674, 0.484], [0.000, 0.000, 0.500], [0.213, 0.213, 0.679], [0.473, 0.473, 0.717], [0.527, 0.527, 0.283], [0.787, 0.787, 0.321]],
  "raw_formation_energy_ev_per_atom": -0.862
}



[12]
{
  "formula": "Zr2NbHg",
  "functional": "PBE",
  "state": "relaxed",
  "lattice": [[4.189, 0.000, 0.000], [0.000, 4.189, 0.000], [0.000, 0.000, 20.465]],
  "species": ["Zr", "Zr", "Zr", "Zr", "Zr", "Zr", "Zr", "Zr", "Nb", "Nb", "Nb", "Nb", "Hg", "Hg", "Hg", "Hg"],
  "frac_coords": [[0.242, 0.250, 0.125], [0.250, 0.742, 0.375], [0.250, 0.758, 0.875], [0.258, 0.250, 0.625], [0.742, 0.750, 0.625], [0.750, 0.242, 0.875], [0.750, 0.258, 0.375], [0.758, 0.750, 0.125], [0.000, 0.000, 0.000], [0.000, 0.500, 0.250], [0.500, 0.000, 0.750], [0.500, 0.500, 0.500], [0.000, 0.000, 0.500], [0.000, 0.500, 0.750], [0.500, 0.000, 0.250], [0.500, 0.500, 0.000]]
}



[13]
{
  "formula": "AcTlGeO5",
  "functional": "PBE",
  "state": "relaxed",
  "lattice": [[3.584, -5.028, 0.000], [3.584, 5.028, 0.000], [-2.474, 0.000, 6.805]],
  "species": ["Ac", "Ac", "Tl", "Tl", "Ge", "Ge", "O", "O", "O", "O", "O", "O", "O", "O", "O", "O"],
  "frac_coords": [[0.154, 0.846, 0.750], [0.846, 0.154, 0.250], [0.500, 0.500, 0.000], [0.500, 0.500, 0.500], [0.183, 0.817, 0.250], [0.817, 0.183, 0.750], [0.079, 0.224, 0.937], [0.155, 0.591, 0.373], [0.224, 0.079, 0.437], [0.401, 0.599, 0.750], [0.409, 0.845, 0.127], [0.591, 0.155, 0.873], [0.599, 0.401, 0.250], [0.776, 0.921, 0.563], [0.845, 0.409, 0.627], [0.921, 0.776, 0.063]],
  "raw_formation_energy_ev_per_atom": -1.971
}



[14]
{
  "formula": "Ba4Ga4Pd",
  "functional": "PBE",
  "state": "relaxed",
  "lattice": [[9.550, 0.000, 0.000], [0.000, 9.550, 0.000], [0.000, 0.000, 6.590]],
  "species": ["Ba", "Ba", "Ba", "Ba", "Ba", "Ba", "Ba", "Ba", "Ga", "Ga", "Ga", "Ga", "Ga", "Ga", "Ga", "Ga", "Pd", "Pd"],
  "frac_coords": [[0.044, 0.250, 0.078], [0.250, 0.044, 0.578], [0.250, 0.456, 0.578], [0.456, 0.250, 0.078], [0.544, 0.750, 0.922], [0.750, 0.544, 0.422], [0.750, 0.956, 0.422], [0.956, 0.750, 0.922], [0.097, 0.750, 0.392], [0.250, 0.597, 0.108], [0.250, 0.903, 0.108], [0.403, 0.750, 0.392], [0.597, 0.250, 0.608], [0.750, 0.097, 0.892], [0.750, 0.403, 0.892], [0.903, 0.250, 0.608], [0.250, 0.750, 0.750], [0.750, 0.250, 0.250]]
}



[15]
{
  "formula": "CaNiSb2Te",
  "functional": "PBE",
  "state": "relaxed",
  "lattice": [[4.944, 0.000, 0.000], [0.000, 4.944, 0.000], [0.000, 0.000, 5.595]],
  "species": ["Ca", "Ni", "Sb", "Sb", "Te"],
  "frac_coords": [[0.000, 0.000, 0.000], [0.500, 0.500, 0.500], [0.000, 0.500, 0.500], [0.500, 0.000, 0.500], [0.500, 0.500, 0.000]],
  "de_polymorph_mev_per_atom": 0.0,
  "raw_formation_energy_ev_per_atom": -0.207
}



no.,calculated total energy (eV for the cell shown)
1,-61.2
2,-35.0
3,-14.7
4,-39.9
5,-44.7
6,-42.0
7,-20.6
8,-18.0
9,-25.1
10,-73.7
11,-27.1
12,-102.2
13,-103.3
14,-57.7
15,-20.2